{
  "formula": "PaAlAu2",
  "functional": "PBE",
  "state": "optimized geometry",
  "crystal_system": "orthorhombic",
  "spacegroup": "No. 63",
  "formation_energy_ev_per_atom": -0.407,
  "dos_at_fermi_per_ev_cell": 8.14,
  "e_tot_ry_per_atom": -0.394,
  "lattice": [[4.720, 0.000, 0.000], [0.000, 3.322, -0.837], [0.000, 0.803, 10.204]],
  "species": ["Au", "Al", "Au", "Pa", "Al", "Au", "Pa", "Au"],
  "fractional_positions": [[0.250, 0.539, 0.079], [0.250, 0.669, 0.339], [0.750, 0.461, 0.921], [0.250, 0.906, 0.811], [0.750, 0.331, 0.661], [0.750, 0.726, 0.451], [0.750, 0.094, 0.189], [0.250, 0.274, 0.549]]
}